*w*
This record from the Alexandria database describes a relaxed TaSbSe2Br crystal. The functional is PBE-GGA.

Lattice parameters (Å, degrees): 5.378 5.378 5.249 90.00 90.00 90.00
Sites, in units of the cell vectors:
Ta1 0.000 0.000 0.000
Sb1 0.500 0.500 0.500
Se1 0.000 0.500 0.500
Se2 0.500 0.000 0.500
Br1 0.500 0.500 0.000

*x*
This record from the Alexandria database describes a relaxed TaSbSe2Br crystal. The functional is PBE-GGA.

Lattice parameters (Å, degrees): 5.076 5.076 5.066 90.00 90.00 90.00
Sites, in units of the cell vectors:
Ta1 0.000 0.000 0.000
Sb1 0.500 0.500 0.500
Se1 0.000 0.500 0.000
Se2 0.500 0.000 0.000
Br1 0.000 0.000 0.500

Which one sits at the top of the stability order? *x* does.

*w*
This record from the Alexandria database describes a relaxed YSbSeBr2 crystal. The functional is PBE-GGA.

Lattice parameters (Å, degrees): 5.486 5.486 5.721 90.00 90.00 90.00
Sites, in units of the cell vectors:
Y1 0.000 0.000 0.000
Sb1 0.500 0.500 0.500
Se1 0.000 0.000 0.500
Br1 0.000 0.500 0.000
Br2 0.500 0.000 0.000

*x*
This record from the Alexandria database describes a relaxed YSbSeBr2 crystal. The functional is PBE-GGA.

Lattice parameters (Å, degrees): 5.494 5.494 5.623 90.00 90.00 90.00
Sites, in units of the cell vectors:
Y1 0.000 0.000 0.000
Sb1 0.500 0.500 0.500
Se1 0.500 0.500 0.000
Br1 0.000 0.500 0.500
Br2 0.500 0.000 0.500

Which one sits at the top of the stability order? *w* does.

*w*
This record from the Alexandria database describes a relaxed ZnSbSeBr2 crystal. The functional is PBE-GGA.

Lattice parameters (Å, degrees): 4.973 4.973 5.258 90.00 90.00 90.00
Sites, in units of the cell vectors:
Zn1 0.000 0.000 0.000
Sb1 0.500 0.500 0.500
Se1 0.000 0.000 0.500
Br1 0.000 0.500 0.000
Br2 0.500 0.000 0.000

*x*
This record from the Alexandria database describes a relaxed ZnSbSeBr2 crystal. The functional is PBE-GGA.

Lattice parameters (Å, degrees): 5.617 5.617 5.356 90.00 90.00 90.00
Sites, in units of the cell vectors:
Zn1 0.000 0.000 0.000
Sb1 0.500 0.500 0.500
Se1 0.500 0.500 0.000
Br1 0.000 0.500 0.500
Br2 0.500 0.000 0.500

Which one sits at the top of the stability order? *w* does.

*w*
This record from the Alexandria database describes a relaxed ZrSbSeBr2 crystal. The functional is PBE-GGA.

Lattice parameters (Å, degrees): 5.505 5.505 5.530 90.00 90.00 90.00
Sites, in units of the cell vectors:
Zr1 0.000 0.000 0.000
Sb1 0.500 0.500 0.500
Se1 0.500 0.500 0.000
Br1 0.000 0.500 0.500
Br2 0.500 0.000 0.500

*x*
This record from the Alexandria database describes a relaxed ZrSbSeBr2 crystal. The functional is PBE-GGA.

Lattice parameters (Å, degrees): 5.398 5.398 5.300 90.00 90.00 90.00
Sites, in units of the cell vectors:
Zr1 0.000 0.000 0.000
Sb1 0.500 0.500 0.500
Se1 0.000 0.000 0.500
Br1 0.000 0.500 0.000
Br2 0.500 0.000 0.000

Which one sits at the top of the stability order? *x* does.

*w*
This record from the Alexandria database describes a relaxed ZrSbSe2Br crystal. The functional is PBE-GGA.

Lattice parameters (Å, degrees): 5.382 5.382 5.321 90.00 90.00 90.00
Sites, in units of the cell vectors:
Zr1 0.000 0.000 0.000
Sb1 0.500 0.500 0.500
Se1 0.000 0.500 0.500
Se2 0.500 0.000 0.500
Br1 0.500 0.500 0.000

*x*
This record from the Alexandria database describes a relaxed ZrSbSe2Br crystal. The functional is PBE-GGA.

Lattice parameters (Å, degrees): 5.261 5.261 5.209 90.00 90.00 90.00
Sites, in units of the cell vectors:
Zr1 0.000 0.000 0.000
Sb1 0.500 0.500 0.500
Se1 0.000 0.500 0.000
Se2 0.500 0.000 0.000
Br1 0.000 0.000 0.500

Which one sits at the top of the stability order? *x* does.

*w*
This record from the Alexandria database describes a relaxed Si2SbBr crystal. The functional is PBE-GGA.

Lattice parameters (Å, degrees): 7.402 7.402 7.591 90.00 90.00 90.00
Sites, in units of the cell vectors:
Si1 0.232 0.250 0.125
Si2 0.250 0.732 0.375
Si3 0.250 0.768 0.875
Si4 0.268 0.250 0.625
Si5 0.732 0.750 0.625
Si6 0.750 0.232 0.875
Si7 0.750 0.268 0.375
Si8 0.768 0.750 0.125
Sb1 0.000 0.000 0.000
Sb2 0.000 0.500 0.250
Sb3 0.500 0.000 0.750
Sb4 0.500 0.500 0.500
Br1 0.000 0.000 0.500
Br2 0.000 0.500 0.750
Br3 0.500 0.000 0.250
Br4 0.500 0.500 0.000

*x*
This record from the Alexandria database describes a relaxed Si2SbBr crystal. The functional is PBE-GGA.

Lattice parameters (Å, degrees): 4.101 4.101 20.292 90.00 90.00 120.00
Sites, in units of the cell vectors:
Si1 0.000 0.000 0.239
Si2 0.000 0.000 0.761
Si3 0.333 0.667 0.427
Si4 0.333 0.667 0.906
Si5 0.667 0.333 0.094
Si6 0.667 0.333 0.573
Sb1 0.000 0.000 0.500
Sb2 0.333 0.667 0.167
Sb3 0.667 0.333 0.833
Br1 0.000 0.000 0.000
Br2 0.333 0.667 0.667
Br3 0.667 0.333 0.333

Which one sits at the top of the stability order? *x* does.